Entry 1:
The following is a DFT calculation (PBE) of Bi4O3F7 after structural relaxation.

```
Bi4O3F7
1.0
-2.061 -3.274 -0.544
4.126 -2.000 -3.592
4.029 -3.618 6.512
F O Bi
7 3 4
Direct
0.000 0.568 0.947
0.000 0.649 0.597
0.500 0.362 0.458
0.500 0.975 0.628
0.500 0.402 0.109
0.500 0.386 0.764
0.000 0.572 0.277
0.000 0.036 0.885
0.500 0.939 0.129
0.000 0.029 0.371
0.000 0.190 0.127
0.500 0.776 0.886
0.500 0.768 0.375
0.000 0.262 0.620
```

Summary:
For the uncorrected formation energy, the calculation gives -2627 kJ/mol of formula units. As for the space group: No. 6.

---

Entry 2:
The following is a DFT calculation (PBE) of KZr2Sc after structural relaxation.

```
KZr2Sc
1.0
-1.458 2.329 1.717
-2.866 -1.426 -0.501
-1.539 -7.529 8.902
Sc Zr K
1 2 1
Direct
0.500 0.694 0.810
0.000 0.999 0.002
0.500 0.306 0.190
0.000 0.501 0.498
```

Summary:
The calculation puts the energy of formation at 0.3295 eV/atom. As for the space group: No. 6.

---

Entry 3:
The following is a DFT calculation (PBE) of Sr2ErZn after structural relaxation.

```
Sr2ErZn
1.0
3.799 0.000 0.000
1.899 3.290 0.000
1.899 1.097 11.920
Sr Er Zn
2 1 1
Direct
0.099 0.099 0.702
0.901 0.901 0.298
0.000 0.000 0.000
0.500 0.500 0.500
```

Summary:
The calculation puts the energy of formation at 0.3110 eV/atom. As for the space group: No. 166.

---

Entry 4:
The following is a DFT calculation (PBE) of Nb2VIn after structural relaxation.

```
Nb2VIn
1.0
-1.179 0.522 3.023
2.134 -2.187 1.210
4.474 4.867 0.905
V In Nb
1 1 2
Direct
0.500 0.500 0.000
0.500 0.500 0.500
0.000 0.000 0.214
0.000 0.000 0.786
```

Summary:
The calculation puts the energy of formation at 0.0244 eV/atom. As for the space group: No. 123.

---

Entry 5:
The following is a DFT calculation (PBE) of Ag12As3Cl5 after structural relaxation.

```
Ag12As3Cl5
1.0
-12.629 -4.790 0.142
7.799 -8.086 -7.501
4.793 0.435 12.622
Ag Cl As
48 20 12
Direct
0.173 0.067 0.931
0.933 0.827 0.569
0.758 0.327 0.894
0.106 0.173 0.242
0.258 0.394 0.827
0.606 0.742 0.673
0.827 0.894 0.258
0.894 0.067 0.636
0.364 0.433 0.106
0.069 0.636 0.742
0.136 0.742 0.569
0.433 0.069 0.327
0.173 0.106 0.742
0.327 0.569 0.433
0.931 0.567 0.173
0.394 0.136 0.567
0.067 0.173 0.431
0.258 0.864 0.931
0.636 0.567 0.894
0.827 0.933 0.069
0.673 0.431 0.567
0.742 0.136 0.069
0.606 0.864 0.433
0.106 0.933 0.364
0.864 0.606 0.933
0.758 0.431 0.364
0.431 0.758 0.864
0.431 0.673 0.067
0.864 0.258 0.431
0.569 0.327 0.933
0.364 0.931 0.758
0.242 0.569 0.636
0.673 0.242 0.606
0.567 0.931 0.673
0.069 0.433 0.827
0.136 0.394 0.067
0.569 0.242 0.136
0.067 0.894 0.136
0.433 0.364 0.606
0.394 0.258 0.327
0.567 0.636 0.394
0.894 0.827 0.758
0.636 0.069 0.242
0.933 0.106 0.864
0.242 0.673 0.106
0.931 0.364 0.258
0.327 0.758 0.394
0.742 0.606 0.173
0.375 0.125 0.750
0.000 0.000 0.000
0.500 0.000 0.500
0.875 0.250 0.625
0.750 0.125 0.875
0.750 0.625 0.375
0.500 0.000 0.000
0.500 0.500 0.500
0.000 0.500 0.500
0.375 0.250 0.125
0.625 0.875 0.250
0.000 0.500 0.000
0.125 0.750 0.375
0.500 0.500 0.000
0.250 0.375 0.625
0.000 0.000 0.500
0.625 0.750 0.875
0.250 0.875 0.125
0.875 0.625 0.750
0.125 0.375 0.250
0.125 0.875 0.750
0.250 0.125 0.375
0.375 0.750 0.625
0.875 0.125 0.250
0.250 0.625 0.875
0.625 0.250 0.375
0.125 0.250 0.875
0.875 0.750 0.125
0.750 0.375 0.125
0.375 0.625 0.250
0.625 0.375 0.750
0.750 0.875 0.625
```

Summary:
For the uncorrected formation energy, the calculation gives -123 kJ/mol of formula units. As for the space group: No. 230.

---

Entry 6:
The following is a DFT calculation (PBE) of VAsI3 after structural relaxation.

```
VAsI3
1.0
-0.191 1.470 -5.366
-3.947 -3.819 -0.906
-3.921 3.774 1.173
I As V
3 1 1
Direct
0.500 0.000 0.000
0.000 0.000 0.500
0.000 0.500 0.000
0.500 0.500 0.500
0.000 0.000 0.000
```

Summary:
For the uncorrected formation energy, the calculation gives 174 kJ/mol of formula units. As for the space group: No. 221.

---

Entry 7:
The following is a DFT calculation (PBE) of Er2Al7 after structural relaxation.

```
Er2Al7
1.0
5.482 0.000 0.000
2.741 4.748 0.000
2.741 1.583 13.312
Al Er
14 4
Direct
0.613 0.613 0.666
0.722 0.722 0.835
0.387 0.387 0.334
0.389 0.389 0.833
0.500 0.000 0.000
0.893 0.387 0.334
0.500 0.500 0.500
0.500 0.500 0.000
0.278 0.278 0.165
0.107 0.613 0.666
0.611 0.611 0.167
0.613 0.107 0.666
0.000 0.500 0.000
0.387 0.893 0.334
0.054 0.054 0.838
0.850 0.850 0.450
0.946 0.946 0.162
0.150 0.150 0.550
```

Summary:
The calculation puts the energy of formation at -0.2853 eV/atom. As for the space group: No. 166.

---

Entry 8:
The following is a DFT calculation (PBE) of Sc2Co2Ag after structural relaxation.

```
Sc2Co2Ag
1.0
-6.159 -4.182 -0.401
3.548 -5.559 3.477
-0.890 1.062 2.606
Co Sc Ag
4 4 2
Direct
0.146 0.646 0.500
0.646 0.854 0.500
0.854 0.354 0.500
0.354 0.146 0.500
0.648 0.148 0.000
0.352 0.852 0.000
0.852 0.648 0.000
0.148 0.352 0.000
0.000 0.000 0.000
0.500 0.500 0.000
```

Summary:
The calculation puts the energy of formation at 0.0192 eV/atom. As for the space group: No. 127.

---

Entry 9:
The following is a DFT calculation (PBE) of Cs2KPS4 after structural relaxation.

```
Cs2KPS4
1.0
7.176 0.000 0.000
3.588 6.577 0.000
3.588 0.000 13.799
K P S Cs
2 2 8 4
Direct
0.750 0.500 0.500
0.000 0.000 0.000
0.500 0.000 0.000
0.250 0.500 0.500
0.360 0.687 0.412
0.797 0.813 0.912
0.291 0.187 0.912
0.459 0.313 0.588
0.390 0.813 0.088
0.522 0.187 0.088
0.953 0.687 0.588
0.228 0.313 0.412
0.188 0.000 0.624
0.938 0.500 0.124
0.562 0.500 0.876
0.812 0.000 0.376
```

Summary:
For the uncorrected formation energy, the calculation gives -687 kJ/mol of formula units. As for the space group: No. 70.

---

Entry 10:
The following is a DFT calculation (PBE) of HfTiAl3 after structural relaxation.

```
HfTiAl3
1.0
4.731 0.000 0.000
0.000 4.731 0.000
0.000 0.000 4.731
Ti Hf Al
1 1 3
Direct
0.000 0.000 0.000
0.500 0.500 0.500
0.000 0.000 0.500
0.000 0.500 0.000
0.500 0.000 0.000
```

Summary:
The calculation puts the energy of formation at 0.7129 eV/atom. As for the space group: No. 221.

---

Entry 11:
The following is a DFT calculation (PBE) of Ta2BeAu after structural relaxation.

```
Ta2BeAu
1.0
3.983 0.000 0.000
0.000 3.989 0.000
0.000 0.000 4.040
Ta Au Be
2 1 1
Direct
0.500 0.500 0.000
0.000 0.000 0.000
0.500 0.000 0.500
0.000 0.500 0.500
```

Summary:
The calculation puts the energy of formation at 0.0685 eV/atom. As for the space group: No. 123.

---

Entry 12:
The following is a DFT calculation (PBE) of Tb4NdAu5 after structural relaxation.

```
Tb4NdAu5
1.0
-1.955 -0.859 -2.906
1.791 -3.117 -0.283
-12.517 -8.177 10.838
Tb Au Nd
4 5 1
Direct
0.000 0.000 0.401
0.000 0.000 0.203
0.000 0.000 0.599
0.000 0.000 0.797
0.500 0.500 0.500
0.500 0.500 0.698
0.500 0.500 0.302
0.500 0.500 0.109
0.500 0.500 0.891
0.000 0.000 0.000
```

Summary:
The calculation puts the energy of formation at -0.8359 eV/atom. As for the space group: No. 123.

---

Sequential Fermi-level density of states output: 1.21; 5.60; 4.87; 3.14; 23.34; 6.88; 7.16; 9.46; 0.00; 4.71; 3.35; 4.46 states/eV per cell